GaAgRh3 after structural relaxation. Source: the Alexandria database, functional GGA-PBE.

E_tot = -3.99 eV/atom
Excess energy over the best structure of this formula in the dataset = 0.831 eV/atom
Calculated density = 7.2 g/cm3
ΔH_f (0 K) = 1.596 eV per atom
M_tot = 1.8 μB/f.u.

abc: 4.818 4.818 4.818
angles: 90.00 90.00 90.00
Space group Pm-3m (No. 221)
Inequivalent atoms, fractional coordinates:
Ga1 0.000 0.000 0.000 x1
Ag1 0.500 0.500 0.500 x1
Rh1 0.000 0.500 0.500 x3